# HfMoHOs2 | Alexandria | PBE | optimized geometry
# - total energy (eV for the cell shown) = -46.5
# - total magnetic moment (Bohr magnetons per cell) = 0.00
# - crystal system = tetragonal
data_HfMoHOs2
_chemical_formula_sum 'Hf1 Mo1 H1 Os2'
_symmetry_space_group_name_H-M 'P 4/m m m'
_symmetry_Int_Tables_number 123
_symmetry_space_group_name_Hall '-P 4 2'
_cell_length_a 4.043
_cell_length_b 4.043
_cell_length_c 4.067
_cell_angle_alpha 90.00
_cell_angle_beta 90.00
_cell_angle_gamma 90.00
loop_
_atom_site_label
_atom_site_type_symbol
_atom_site_fract_x
_atom_site_fract_y
_atom_site_fract_z
Hf1 Hf 0.000 0.000 0.000
Mo1 Mo 0.500 0.500 0.000
H1 H 0.000 0.000 0.500
Os1 Os 0.000 0.500 0.500

=====

# K3GeSe4 | Alexandria | PBE | optimized geometry
# - total energy (eV for the cell shown) = -56.4
# - total magnetic moment (Bohr magnetons per cell) = 1.97
# - E_form (uncorrected) (eV/atom) = -0.792
# - relative energy among the computed polymorphs (eV/atom) = 0.049
# - crystal system = orthorhombic
data_K3GeSe4
_chemical_formula_sum 'K6 Ge2 Se8'
_symmetry_space_group_name_H-M 'P m n 21'
_symmetry_Int_Tables_number 31
_symmetry_space_group_name_Hall 'P 2ac -2'
_cell_length_a 12.963
_cell_length_b 6.579
_cell_length_c 6.551
_cell_angle_alpha 90.00
_cell_angle_beta 90.00
_cell_angle_gamma 90.00
loop_
_atom_site_label
_atom_site_type_symbol
_atom_site_fract_x
_atom_site_fract_y
_atom_site_fract_z
K1 K 0.000 0.197 0.000
K2 K 0.249 0.272 0.557
Ge1 Ge 0.000 0.641 0.432
Se1 Se 0.000 0.286 0.501
Se2 Se 0.000 0.702 0.074
Se3 Se 0.159 0.776 0.564